Sm6Y3Er2Tm | PBE-GGA | optimized geometry

Values from the calculation:
M_tot = 0.00 μB per formula unit
Formation enthalpy at 0 K = 0.02 eV/atom
Volume = 32.36 Å³ per atom

a = 6.2142 Å, b = 6.2142 Å, c = 11.7906 Å
α = 95.02°, β = 95.02°, γ = 119.98°
Atoms (fractional coordinates):
Sm1 0.0837 0.4169 0.7523
Sm2 0.2500 0.2500 0.2478
Sm3 0.4169 0.0837 0.7523
Sm4 0.5831 0.9163 0.2477
Sm5 0.7500 0.7500 0.7522
Sm6 0.9163 0.5831 0.2477
Y1 0.0000 0.0000 0.5000
Y2 0.3333 0.6667 0.5000
Y3 0.6667 0.3333 0.5000
Er1 0.1666 0.8334 0.0000
Er2 0.8334 0.1666 0.0000
Tm1 0.5000 0.5000 0.0000